No. 1
Below is an optimized crystal structure of HoEr2Cd3AgAu2, with properties calculated at the GGA-PBE level.

Cell: 3.820 13.576 7.831 Å, 90.00 90.00 90.00°
Space group Amm2 (No. 38)
Inequivalent atoms, fractional coordinates:
Ho (0.000, 0.000, 0.000) (multiplicity 2)
Er (0.000, 0.204, 0.612) (multiplicity 4)
Cd (0.500, 0.000, 0.670) (multiplicity 2)
Cd (0.500, 0.131, 0.277) (multiplicity 4)
Ag (0.000, 0.000, 0.408) (multiplicity 2)
Au (0.500, 0.167, 0.908) (multiplicity 4)

Summary:
ΔH_f (0 K) = -577 meV per atom



No. 2
Below is an optimized crystal structure of Ho2ErCd3AgAu2, with properties calculated at the GGA-PBE level.

Cell: 3.821 13.582 7.844 Å, 90.00 90.00 90.00°
Space group Amm2 (No. 38)
Inequivalent atoms, fractional coordinates:
Ho (0.000, 0.204, 0.000) (multiplicity 4)
Er (0.000, 0.000, 0.613) (multiplicity 2)
Cd (0.500, 0.000, 0.941) (multiplicity 2)
Cd (0.500, 0.131, 0.336) (multiplicity 4)
Ag (0.000, 0.000, 0.204) (multiplicity 2)
Au (0.500, 0.167, 0.704) (multiplicity 4)

Summary:
ΔH_f (0 K) = -578 meV per atom



No. 3
Below is an optimized crystal structure of NdEr2Cd3AgAu2, with properties calculated at the GGA-PBE level.

Cell: 3.864 13.722 7.842 Å, 90.00 90.00 90.00°
Space group Amm2 (No. 38)
Inequivalent atoms, fractional coordinates:
Nd (0.000, 0.000, 0.000) (multiplicity 2)
Er (0.000, 0.204, 0.611) (multiplicity 4)
Cd (0.500, 0.000, 0.666) (multiplicity 2)
Cd (0.500, 0.132, 0.278) (multiplicity 4)
Ag (0.000, 0.000, 0.409) (multiplicity 2)
Au (0.500, 0.171, 0.905) (multiplicity 4)

Summary:
ΔH_f (0 K) = -569 meV per atom



No. 4
Below is an optimized crystal structure of TbEr2Cd3AgAu2, with properties calculated at the GGA-PBE level.

Cell: 3.828 13.605 7.829 Å, 90.00 90.00 90.00°
Space group Amm2 (No. 38)
Inequivalent atoms, fractional coordinates:
Tb (0.000, 0.000, 0.000) (multiplicity 2)
Er (0.000, 0.204, 0.612) (multiplicity 4)
Cd (0.500, 0.000, 0.669) (multiplicity 2)
Cd (0.500, 0.132, 0.277) (multiplicity 4)
Ag (0.000, 0.000, 0.409) (multiplicity 2)
Au (0.500, 0.168, 0.907) (multiplicity 4)

Summary:
ΔH_f (0 K) = -578 meV per atom